1.
Density functional theory data (meta-GGA SCAN) for Cs3Er2I9 at its PBEsol-relaxed geometry.

Cell: 8.2814 8.2814 21.0014 Å, 90.00 90.00 120.00°
Space group P6_3/mmc (No. 194)
Inequivalent atoms, fractional coordinates:
Cs  0.0000  0.0000  0.2500 x2
Cs  0.3333  0.6667  0.0667 x4
Er  0.3333  0.6667  0.6560 x4
I  0.0048  0.5024  0.7500 x6
I  0.1621  0.3242  0.5844 x12

Results
Calculated total energy ... -40.55 eV per atom
Magnetization ... 0.0 μB/f.u.
Formation energy (no corrections) ... -1.6412 eV per atom

2.
Density functional theory data (meta-GGA SCAN) for CsErMo2O8 at its PBEsol-relaxed geometry.

Cell: 5.001 9.457 7.851 Å, 90.00 90.00 90.00°
Space group Pccm (No. 49)
Inequivalent atoms, fractional coordinates:
Cs  0.000  0.000  0.250 x2
Er  0.000  0.500  0.250 x2
Mo  0.477  0.308  0.000 x4
O  0.249  0.439  0.500 x4
O  0.258  0.314  0.178 x8
O  0.385  0.142  0.500 x4

Results
Calculated total energy ... -19.98 eV per atom
Magnetization ... 0.0 μB/f.u.
Formation energy (no corrections) ... -2.6700 eV per atom

3.
Density functional theory data (meta-GGA SCAN) for CsErMo2O8 at its PBEsol-relaxed geometry.

Cell: 5.9525 5.9525 8.0774 Å, 90.00 90.00 120.00°
Space group P-3m1 (No. 164)
Inequivalent atoms, fractional coordinates:
Cs  0.0000  0.0000  0.0000 x1
Er  0.0000  0.0000  0.5000 x1
Mo  0.3333  0.6667  0.2644 x2
O  0.1698  0.3397  0.3344 x6
O  0.3333  0.6667  0.0516 x2

Results
Calculated total energy ... -19.96 eV per atom
Magnetization ... 0.0 μB/f.u.
Formation energy (no corrections) ... -2.6486 eV per atom

4.
Density functional theory data (meta-GGA SCAN) for CsErMo2O8 at its PBEsol-relaxed geometry.

Cell: 10.618 10.396 7.605 Å, 90.00 130.61 90.00°
Space group C2/c (No. 15)
Inequivalent atoms, fractional coordinates:
Cs  0.000  0.195  0.250 x4
Er  0.000  0.230  0.750 x4
Mo  0.194  0.498  0.732 x8
O  0.023  0.392  0.967 x8
O  0.133  0.081  0.704 x8
O  0.187  0.430  0.433 x8
O  0.225  0.157  0.125 x8

Results
Calculated total energy ... -19.93 eV per atom
Magnetization ... 0.0 μB/f.u.
Formation energy (no corrections) ... -2.6152 eV per atom